{"formula": "CrPtN2F", "functional": "GGA+U", "state": "relaxed", "lattice": [[3.7161, 0.0000, 0.0000], [0.0000, 3.7161, 0.0000], [0.0000, 0.0000, 5.9719]], "species": ["Cr", "Pt", "N", "N", "F"], "fractional_positions": [[0.0000, 0.0000, 0.0000], [0.5000, 0.5000, 0.5000], [0.0000, 0.5000, 0.5000], [0.5000, 0.0000, 0.5000], [0.5000, 0.5000, 0.0000]], "space_group": "P4/mmm", "dos_ef_per_ev_atom": 0.563, "de_polymorph_ev_per_fu": 0.00}